Record 1
Density functional theory data (SCAN) for a PBEsol-optimized structure of CsK3.

```
4
Lattice="6.799 0.000 0.000 0.000 6.799 0.000 0.000 0.000 6.799" Properties=species:S:1:pos:R:3 pbc="T T T"
Cs 0.000 0.000 0.000
K 0.000 3.400 3.400
K 3.400 0.000 3.400
K 3.400 3.400 0.000
```

Summary:
As for the space-group type: No. 221. As for the formation energy from the elements: 0.014 eV/atom. For the spin magnetization, the calculation gives 0.07 Bohr magnetons per cell.

Record 2
Density functional theory data (SCAN) for a PBEsol-optimized structure of NiAgPt4.

```
6
Lattice="0.000 3.647 3.647 3.647 0.000 3.647 3.647 3.647 0.000" Properties=species:S:1:pos:R:3 pbc="T T T"
Ni 0.000 0.000 0.000
Ag 5.471 5.471 5.471
Pt 2.734 2.734 2.734
Pt 4.560 4.560 2.734
Pt 4.560 2.734 4.560
Pt 2.734 4.560 4.560
```

Summary:
As for the space-group type: No. 216. As for the formation energy from the elements: 0.145 eV/atom. For the spin magnetization, the calculation gives 1.53 Bohr magnetons per cell.

Record 3
Density functional theory data (SCAN) for a PBEsol-optimized structure of FeNiTe2.

```
8
Lattice="4.457 0.000 0.000 0.000 5.000 0.000 0.000 0.000 6.840" Properties=species:S:1:pos:R:3 pbc="T T T"
Fe 0.000 0.000 0.000
Fe 0.000 2.500 3.420
Ni 2.229 0.000 5.580
Ni 2.229 2.500 2.161
Te 0.000 0.000 4.282
Te 0.000 2.500 0.863
Te 2.229 0.000 1.299
Te 2.229 2.500 4.718
```

Summary:
As for the space-group type: No. 38. The uncorrected formation energy is 0.004 eV per atom. For the spin magnetization, the calculation gives 5.65 Bohr magnetons per cell.

> The highest spin magnetization belongs to which entry?

FeNiTe2

> Which of these has the highest spin magnetization?

FeNiTe2